No. 1
VASP calculation (PBE-GGA) on a relaxed AlCdGaW2 crystal.

Calculated values
symmetry = P4/mmm, No. 123
total moment = 0.00 μB per cell
crystal system = tetragonal

Structure (CIF):
```
data_AlCdGaW2
_chemical_formula_sum 'Al1 Cd1 Ga1 W2'
_cell_length_a 4.7107
_cell_length_b 4.4742
_cell_length_c 4.7107
_cell_angle_alpha 90.00
_cell_angle_beta 90.00
_cell_angle_gamma 90.00
_space_group_name_H-M_alt 'P 1'
_space_group_IT_number 1
_space_group_name_Hall 'P 1'
loop_
_atom_site_label
_atom_site_type_symbol
_atom_site_fract_x
_atom_site_fract_y
_atom_site_fract_z
Al1 Al 0.0000 0.5000 0.0000
Ga1 Ga 0.0000 0.0000 0.0000
W1 W 0.0000 0.0000 0.5000
W2 W 0.5000 0.0000 0.0000
Cd1 Cd 0.5000 0.5000 0.5000
```

---

No. 2
VASP calculation (PBE-GGA) on a relaxed GdAl2Cd crystal.

Calculated values
symmetry = Fm-3m, No. 225
energy relative to the lowest polymorph listed for this composition = 185.2 meV per atom
total moment = 7.08 μB per cell
crystal system = cubic

Structure (CIF):
```
data_GdAl2Cd
_chemical_formula_sum 'Gd1 Al2 Cd1'
_cell_length_a 4.9514
_cell_length_b 4.9514
_cell_length_c 4.9512
_cell_angle_alpha 60.00
_cell_angle_beta 60.00
_cell_angle_gamma 60.00
_space_group_name_H-M_alt 'P 1'
_space_group_IT_number 1
_space_group_name_Hall 'P 1'
loop_
_atom_site_label
_atom_site_type_symbol
_atom_site_fract_x
_atom_site_fract_y
_atom_site_fract_z
Gd1 Gd 0.0000 0.0000 0.0000
Al1 Al 0.7500 0.7500 0.7500
Al2 Al 0.2500 0.2500 0.2500
Cd1 Cd 0.5000 0.5000 0.5000
```

---

No. 3
VASP calculation (PBE-GGA) on a relaxed GdAl2Cd crystal.

Calculated values
symmetry = P4/mmm, No. 123
energy relative to the lowest polymorph listed for this composition = 0.0 meV per atom
total moment = 7.14 μB per cell
crystal system = tetragonal

Structure (CIF):
```
data_GdAl2Cd
_chemical_formula_sum 'Gd1 Al2 Cd1'
_cell_length_a 4.3368
_cell_length_b 4.4367
_cell_length_c 4.4367
_cell_angle_alpha 90.00
_cell_angle_beta 90.00
_cell_angle_gamma 90.00
_space_group_name_H-M_alt 'P 1'
_space_group_IT_number 1
_space_group_name_Hall 'P 1'
loop_
_atom_site_label
_atom_site_type_symbol
_atom_site_fract_x
_atom_site_fract_y
_atom_site_fract_z
Gd1 Gd 0.5000 0.5000 0.5000
Al1 Al 0.0000 0.0000 0.5000
Al2 Al 0.0000 0.5000 0.0000
Cd1 Cd 0.5000 0.0000 0.0000
```

---

No. 4
VASP calculation (PBE-GGA) on a relaxed Gd2AlCd crystal.

Calculated values
symmetry = R-3m, No. 166
total moment = 14.46 μB per cell
crystal system = trigonal

Structure (CIF):
```
data_Gd2AlCd
_chemical_formula_sum 'Gd2 Al1 Cd1'
_cell_length_a 3.4583
_cell_length_b 3.4583
_cell_length_c 11.2548
_cell_angle_alpha 81.16
_cell_angle_beta 81.16
_cell_angle_gamma 60.00
_space_group_name_H-M_alt 'P 1'
_space_group_IT_number 1
_space_group_name_Hall 'P 1'
loop_
_atom_site_label
_atom_site_type_symbol
_atom_site_fract_x
_atom_site_fract_y
_atom_site_fract_z
Gd1 Gd 0.0978 0.0978 0.7067
Gd2 Gd 0.9022 0.9022 0.2933
Al1 Al 0.5000 0.5000 0.5000
Cd1 Cd 0.0000 0.0000 0.0000
```

---

No. 5
VASP calculation (PBE-GGA) on a relaxed Gd2AlCd crystal.

Calculated values
symmetry = P4/mmm, No. 123
total moment = 14.69 μB per cell
crystal system = tetragonal

Structure (CIF):
```
data_Gd2AlCd
_chemical_formula_sum 'Gd2 Al1 Cd1'
_cell_length_a 3.6836
_cell_length_b 3.6836
_cell_length_c 7.5490
_cell_angle_alpha 90.00
_cell_angle_beta 90.00
_cell_angle_gamma 90.00
_space_group_name_H-M_alt 'P 1'
_space_group_IT_number 1
_space_group_name_Hall 'P 1'
loop_
_atom_site_label
_atom_site_type_symbol
_atom_site_fract_x
_atom_site_fract_y
_atom_site_fract_z
Gd1 Gd 0.0000 0.0000 0.7608
Gd2 Gd 0.0000 0.0000 0.2392
Al1 Al 0.5000 0.5000 0.0000
Cd1 Cd 0.5000 0.5000 0.5000
```

---

No. 6
VASP calculation (PBE-GGA) on a relaxed GdAlCd crystal.

Calculated values
symmetry = I4mm, No. 107
total moment = 7.47 μB per cell
crystal system = tetragonal

Structure (CIF):
```
data_GdAlCd
_chemical_formula_sum 'Gd1 Al1 Cd1'
_cell_length_a 3.3514
_cell_length_b 3.3514
_cell_length_c 6.6183
_cell_angle_alpha 104.67
_cell_angle_beta 104.67
_cell_angle_gamma 90.00
_space_group_name_H-M_alt 'P 1'
_space_group_IT_number 1
_space_group_name_Hall 'P 1'
loop_
_atom_site_label
_atom_site_type_symbol
_atom_site_fract_x
_atom_site_fract_y
_atom_site_fract_z
Gd1 Gd 0.9576 0.9576 0.9152
Al1 Al 0.6243 0.6243 0.2487
Cd1 Cd 0.2681 0.2681 0.5362
```

---

No. 7
VASP calculation (PBE-GGA) on a relaxed GdAlCd crystal.

Calculated values
symmetry = P-6m2, No. 187
total moment = 7.34 μB per cell
crystal system = hexagonal

Structure (CIF):
```
data_GdAlCd
_chemical_formula_sum 'Gd1 Al1 Cd1'
_cell_length_a 3.5841
_cell_length_b 4.7564
_cell_length_c 4.7564
_cell_angle_alpha 120.00
_cell_angle_beta 90.00
_cell_angle_gamma 90.00
_space_group_name_H-M_alt 'P 1'
_space_group_IT_number 1
_space_group_name_Hall 'P 1'
loop_
_atom_site_label
_atom_site_type_symbol
_atom_site_fract_x
_atom_site_fract_y
_atom_site_fract_z
Gd1 Gd 0.6667 0.6667 0.3333
Al1 Al 0.1668 0.3333 0.6667
Cd1 Cd 0.1666 0.0000 0.0000
```

---

No. 8
VASP calculation (PBE-GGA) on a relaxed Gd2AlCd crystal.

Calculated values
symmetry = Fm-3m, No. 225
total moment = 13.00 μB per cell
crystal system = cubic

Structure (CIF):
```
data_Gd2AlCd
_chemical_formula_sum 'Gd2 Al1 Cd1'
_cell_length_a 5.2573
_cell_length_b 5.2573
_cell_length_c 5.2573
_cell_angle_alpha 60.00
_cell_angle_beta 60.00
_cell_angle_gamma 60.00
_space_group_name_H-M_alt 'P 1'
_space_group_IT_number 1
_space_group_name_Hall 'P 1'
loop_
_atom_site_label
_atom_site_type_symbol
_atom_site_fract_x
_atom_site_fract_y
_atom_site_fract_z
Gd1 Gd 0.0000 0.0000 0.0000
Gd2 Gd 0.5000 0.5000 0.5000
Al1 Al 0.2500 0.2500 0.2500
Cd1 Cd 0.7500 0.7500 0.7500
```

---

No. 9
VASP calculation (PBE-GGA) on a relaxed LaGdAlCd crystal.

Calculated values
symmetry = F-43m, No. 216
total moment = 7.81 μB per cell
crystal system = cubic

Structure (CIF):
```
data_LaGdAlCd
_chemical_formula_sum 'La1 Gd1 Al1 Cd1'
_cell_length_a 5.3744
_cell_length_b 5.3744
_cell_length_c 5.3744
_cell_angle_alpha 60.00
_cell_angle_beta 60.00
_cell_angle_gamma 60.00
_space_group_name_H-M_alt 'P 1'
_space_group_IT_number 1
_space_group_name_Hall 'P 1'
loop_
_atom_site_label
_atom_site_type_symbol
_atom_site_fract_x
_atom_site_fract_y
_atom_site_fract_z
Cd1 Cd 0.7500 0.7500 0.7500
Gd1 Gd 0.5000 0.5000 0.5000
Al1 Al 0.2500 0.2500 0.2500
La1 La 0.0000 0.0000 0.0000
```

---

No. 10
VASP calculation (PBE-GGA) on a relaxed LiGdAlCd crystal.

Calculated values
symmetry = F-43m, No. 216
total moment = 7.09 μB per cell
crystal system = cubic

Structure (CIF):
```
data_LiGdAlCd
_chemical_formula_sum 'Li1 Gd1 Al1 Cd1'
_cell_length_a 4.9984
_cell_length_b 4.9984
_cell_length_c 4.9984
_cell_angle_alpha 60.00
_cell_angle_beta 60.00
_cell_angle_gamma 60.00
_space_group_name_H-M_alt 'P 1'
_space_group_IT_number 1
_space_group_name_Hall 'P 1'
loop_
_atom_site_label
_atom_site_type_symbol
_atom_site_fract_x
_atom_site_fract_y
_atom_site_fract_z
Gd1 Gd 0.5000 0.5000 0.5000
Li1 Li 0.0000 0.0000 0.0000
Al1 Al 0.2500 0.2500 0.2500
Cd1 Cd 0.7500 0.7500 0.7500
```

---

No. 11
VASP calculation (PBE-GGA) on a relaxed GdMgAlCd crystal.

Calculated values
symmetry = F-43m, No. 216
total moment = 6.98 μB per cell
crystal system = cubic

Structure (CIF):
```
data_GdMgAlCd
_chemical_formula_sum 'Gd1 Mg1 Al1 Cd1'
_cell_length_a 5.0524
_cell_length_b 5.0524
_cell_length_c 5.0524
_cell_angle_alpha 60.00
_cell_angle_beta 60.00
_cell_angle_gamma 60.00
_space_group_name_H-M_alt 'P 1'
_space_group_IT_number 1
_space_group_name_Hall 'P 1'
loop_
_atom_site_label
_atom_site_type_symbol
_atom_site_fract_x
_atom_site_fract_y
_atom_site_fract_z
Mg1 Mg 0.0000 0.0000 0.0000
Gd1 Gd 0.5000 0.5000 0.5000
Al1 Al 0.2500 0.2500 0.2500
Cd1 Cd 0.7500 0.7500 0.7500
```

---

No. 12
VASP calculation (PBE-GGA) on a relaxed NaGdAlCd crystal.

Calculated values
symmetry = F-43m, No. 216
total moment = 7.12 μB per cell
crystal system = cubic

Structure (CIF):
```
data_NaGdAlCd
_chemical_formula_sum 'Na1 Gd1 Al1 Cd1'
_cell_length_a 5.1733
_cell_length_b 5.1733
_cell_length_c 5.1733
_cell_angle_alpha 60.00
_cell_angle_beta 60.00
_cell_angle_gamma 60.00
_space_group_name_H-M_alt 'P 1'
_space_group_IT_number 1
_space_group_name_Hall 'P 1'
loop_
_atom_site_label
_atom_site_type_symbol
_atom_site_fract_x
_atom_site_fract_y
_atom_site_fract_z
Na1 Na 0.0000 0.0000 0.0000
Gd1 Gd 0.5000 0.5000 0.5000
Al1 Al 0.2500 0.2500 0.2500
Cd1 Cd 0.7500 0.7500 0.7500
```

---

no.,energy of formation (eV per atom)
1,1.486
2,-0.127
3,-0.312
4,0.066
5,-0.371
6,-0.227
7,-0.385
8,-0.288
9,-0.344
10,-0.244
11,-0.268
12,-0.110